1.
RbNd PBE optimized geometry; raw total energy = -1.046 eV/atom
1.0
0.0000 4.4476 4.4476
4.4476 0.0000 4.4476
4.4476 4.4476 0.0000
Rb Nd
1 1
direct
0.0000 0.0000 0.0000
0.2500 0.2500 0.2500


2.
Rb2Nd PBE optimized geometry; raw total energy = -1.512 eV/atom
1.0
0.0000 5.5143 5.5143
5.5143 0.0000 5.5143
5.5143 5.5143 0.0000
Rb Nd
4 2
direct
0.0000 0.0000 0.0000
0.0000 0.0000 0.5000
0.0000 0.5000 0.0000
0.5000 0.0000 0.0000
0.3750 0.3750 0.3750
0.6250 0.6250 0.6250


3.
RbNdSeS PBE optimized geometry; raw total energy = -5.112 eV/atom
1.0
2.1493 1.2409 7.8668
-2.1493 1.2409 7.8668
0.0000 -2.4818 7.8668
Rb Nd Se S
1 1 1 1
direct
0.0000 0.0000 0.0000
0.5045 0.5045 0.5045
0.7669 0.7669 0.7669
0.2334 0.2334 0.2334


4.
RbNdTeS PBE optimized geometry; raw total energy = -4.840 eV/atom
1.0
2.2063 1.2738 8.1992
-2.2063 1.2738 8.1992
0.0000 -2.5476 8.1992
Rb Nd Te S
1 1 1 1
direct
0.0000 0.0000 0.0000
0.5142 0.5142 0.5142
0.7701 0.7701 0.7701
0.2371 0.2371 0.2371


5.
RbNdTmS3 PBE optimized geometry; raw total energy = -5.424 eV/atom
1.0
2.2200 -7.6179 0.0000
2.2200 7.6179 0.0000
0.0000 0.0000 11.1601
Rb Nd Tm S
2 2 2 6
direct
0.2377 0.7623 0.7500
0.7623 0.2377 0.2500
0.5000 0.5000 0.0000
0.5000 0.5000 0.5000
0.0301 0.9699 0.2500
0.9699 0.0301 0.7500
0.1191 0.8809 0.0583
0.1191 0.8809 0.4417
0.4434 0.5566 0.2500
0.5566 0.4434 0.7500
0.8809 0.1191 0.5583
0.8809 0.1191 0.9417


6.
Rb2NdUS4 PBE optimized geometry; raw total energy = -5.896 eV/atom
1.0
4.1437 0.0000 0.0000
-2.0718 3.5885 0.0000
0.0000 0.0000 15.4330
Rb Nd U S
2 1 1 4
direct
0.3333 0.6667 0.2496
0.6667 0.3333 0.7504
0.0000 0.0000 0.5000
0.0000 0.0000 0.0000
0.3333 0.6667 0.6008
0.3333 0.6667 0.9049
0.6667 0.3333 0.0951
0.6667 0.3333 0.3992


7.
Rb2NdYS4 PBE optimized geometry; raw total energy = -5.544 eV/atom
1.0
4.1357 0.0000 0.0000
-2.0678 3.5816 0.0000
0.0000 0.0000 15.3998
Rb Nd Y S
2 1 1 4
direct
0.3333 0.6667 0.2531
0.6667 0.3333 0.7469
0.0000 0.0000 0.0000
0.0000 0.0000 0.5000
0.3333 0.6667 0.5946
0.3333 0.6667 0.8985
0.6667 0.3333 0.1015
0.6667 0.3333 0.4054


8.
RbNdZnS3 PBE optimized geometry; raw total energy = -4.680 eV/atom
1.0
8.6638 0.0000 0.0000
0.0000 4.1076 0.0000
-3.2659 0.0000 9.7282
Rb Nd Zn S
2 2 2 6
direct
0.2504 0.2500 0.2211
0.7496 0.7500 0.7789
0.1858 0.7500 0.6360
0.8142 0.2500 0.3640
0.4224 0.2500 0.8926
0.5776 0.7500 0.1074
0.0355 0.7500 0.3536
0.3026 0.7500 0.9480
0.4204 0.2500 0.6677
0.5796 0.7500 0.3323
0.6974 0.2500 0.0520
0.9645 0.2500 0.6464


Question: Which value of raw total energy does entry 3 give?
Answer: -5.112 eV/atom


Question: The lowest raw total energy belongs to which entry?
Answer: Rb2NdUS4